Record 1
Here is an optimized crystal structure of NdAlGa from Alexandria. Energies are from GGA-PBE.

Results
SG: I4mm, No. 107
Magnetization: 0.0000 μB per atom
Energy relative to the elements: -0.32 eV/atom

Cell lengths 3.4190, 3.4190, 6.2279 Å; angles 105.93, 105.93, 90.00 degrees
With the nearest neighbours (Å) after each atom.
Atoms (fractional coordinates):
Nd 0.0013 0.0013 0.0026  5 Ga 3.25-3.57, 5 Al 3.28-3.53, 4 Nd 3.42
Ga 0.6903 0.6903 0.3806  4 Al 2.77
Al 0.3084 0.3084 0.6168  4 Ga 2.77

Record 2
Here is an optimized crystal structure of Nd2Al3Ga from Alexandria. Energies are from GGA-PBE.

Results
SG: R-3m, No. 166
Magnetization: 0.0000 μB per atom
Energy relative to the elements: -0.53 eV/atom

Cell lengths 5.6863, 5.6863, 5.6863 Å; angles 59.62, 59.62, 59.62 degrees
With the nearest neighbours (Å) after each atom.
Atoms (fractional coordinates):
Nd 0.8754 0.8754 0.8754  3 Ga 3.32, 9 Al 3.32-3.34, 4 Nd 3.47-3.48
Nd 0.1246 0.1246 0.1246  3 Ga 3.32, 9 Al 3.32-3.34, 4 Nd 3.47-3.48
Al 0.5000 0.0000 0.5000  4 Al 2.83, 2 Ga 2.84
Al 0.5000 0.5000 0.0000  4 Al 2.83, 2 Ga 2.84
Al 0.0000 0.5000 0.5000  4 Al 2.83, 2 Ga 2.84
Ga 0.5000 0.5000 0.5000  6 Al 2.84

Record 3
Here is an optimized crystal structure of Nd3Al2Ga3 from Alexandria. Energies are from GGA-PBE.

Results
SG: Cmcm, No. 63
ΔE to the lowest computed polymorph: 0.0167 eV per atom
Magnetization: 0.0000 μB per atom
Energy relative to the elements: -0.56 eV/atom

Cell lengths 4.3194, 6.0966, 15.7485 Å; angles 90.00, 90.00, 110.75 degrees
With the nearest neighbours (Å) after each atom.
Atoms (fractional coordinates):
Nd 0.1415 0.2830 0.9048  4 Al 3.22-3.36, 7 Ga 3.23-3.41
Nd 0.8585 0.7170 0.0952  4 Al 3.22-3.36, 7 Ga 3.23-3.41
Nd 0.8585 0.7170 0.4048  4 Al 3.22-3.36, 7 Ga 3.23-3.41
Nd 0.5593 0.1186 0.2500  5 Ga 3.08-3.40, 4 Al 3.18
Nd 0.1415 0.2830 0.5952  4 Al 3.22-3.36, 7 Ga 3.23-3.41
Nd 0.4407 0.8814 0.7500  5 Ga 3.08-3.40, 4 Al 3.18
Al 0.1511 0.3023 0.1177  3 Ga 2.52-2.61
Al 0.8489 0.6977 0.6177  3 Ga 2.52-2.61
Al 0.1511 0.3023 0.3823  3 Ga 2.52-2.61
Al 0.8489 0.6977 0.8823  3 Ga 2.52-2.61
Ga 0.2894 0.5789 0.2500  2 Al 2.61
Ga 0.5816 0.1632 0.4484  1 Ga 2.47, 2 Al 2.52
Ga 0.7106 0.4211 0.7500  2 Al 2.61
Ga 0.4184 0.8368 0.9484  1 Ga 2.47, 2 Al 2.52
Ga 0.5816 0.1632 0.0516  1 Ga 2.47, 2 Al 2.52
Ga 0.4184 0.8368 0.5516  1 Ga 2.47, 2 Al 2.52

Record 4
Here is an optimized crystal structure of Nd2Al2Ga from Alexandria. Energies are from GGA-PBE.

Results
SG: Amm2, No. 38
Magnetization: 0.0000 μB per atom
Energy relative to the elements: -0.47 eV/atom

Cell lengths 4.2736, 4.2028, 7.0720 Å; angles 107.29, 90.00, 90.00 degrees
With the nearest neighbours (Å) after each atom.
Atoms (fractional coordinates):
Ga 0.5000 0.1116 0.2232  3 Al 2.53-2.65
Nd 0.0000 0.6835 0.3670  4 Ga 3.15, 6 Al 3.20-3.44, 1 Nd 3.35
Nd 0.0000 0.9318 0.8636  8 Al 3.16-3.43, 2 Ga 3.24, 1 Nd 3.35
Al 0.5000 0.5071 0.0142  2 Ga 2.53, 1 Al 2.69
Al 0.5000 0.3081 0.6161  1 Ga 2.65, 1 Al 2.69

Record 5
Here is an optimized crystal structure of Nd5AlGa2 from Alexandria. Energies are from GGA-PBE.

Results
SG: I4/mcm, No. 140
Magnetization: 0.0000 μB per atom
Energy relative to the elements: -0.38 eV/atom

Cell lengths 7.8914, 7.8914, 9.2611 Å; angles 115.22, 115.22, 90.00 degrees
With the nearest neighbours (Å) after each atom.
Atoms (fractional coordinates):
Nd 0.5000 0.5000 0.0000  4 Ga 3.16
Nd 0.5262 0.6777 0.7038  3 Ga 3.20-3.21, 2 Al 3.28, 1 Nd 3.46
Nd 0.3223 0.8223 0.2962  3 Ga 3.20-3.21, 2 Al 3.28, 1 Nd 3.46
Nd 0.0000 0.0000 0.0000  4 Ga 3.16
Nd 0.9738 0.4738 0.2962  3 Ga 3.20-3.21, 2 Al 3.28, 1 Nd 3.46
Nd 0.0262 0.5262 0.7038  3 Ga 3.20-3.21, 2 Al 3.28, 1 Nd 3.46
Nd 0.6777 0.1777 0.7038  3 Ga 3.20-3.21, 2 Al 3.28, 1 Nd 3.46
Nd 0.4738 0.3223 0.2962  3 Ga 3.20-3.21, 2 Al 3.28, 1 Nd 3.46
Nd 0.8223 0.9738 0.2962  3 Ga 3.20-3.21, 2 Al 3.28, 1 Nd 3.46
Nd 0.1777 0.0262 0.7038  3 Ga 3.20-3.21, 2 Al 3.28, 1 Nd 3.46
Ga 0.1169 0.3831 0.0000  1 Ga 2.61
Ga 0.8831 0.6169 0.0000  1 Ga 2.61
Ga 0.6169 0.1169 0.0000  1 Ga 2.61
Ga 0.3831 0.8831 0.0000  1 Ga 2.61
Al 0.2500 0.2500 0.5000  8 Nd 3.28
Al 0.7500 0.7500 0.5000  8 Nd 3.28

Record 6
Here is an optimized crystal structure of Nd8AlGa2 from Alexandria. Energies are from GGA-PBE.

Results
SG: C2/m, No. 12
ΔE to the lowest computed polymorph: 0.0000 eV per atom
Magnetization: 0.0000 μB per atom
Energy relative to the elements: -0.24 eV/atom

Cell lengths 5.1385, 7.3199, 9.6296 Å; angles 108.80, 105.47, 90.00 degrees
With the nearest neighbours (Å) after each atom.
Atoms (fractional coordinates):
Nd 0.0180 0.7664 0.0360  1 Ga 3.15, 2 Al 3.17, 2 Nd 3.37
Nd 0.5925 0.4659 0.1851  2 Ga 3.23, 1 Al 3.27, 3 Nd 3.37-3.43
Nd 0.3350 0.0371 0.6700  3 Ga 3.08-3.23, 1 Al 3.16, 1 Nd 3.43
Nd 0.4075 0.5341 0.8149  2 Ga 3.23, 1 Al 3.27, 3 Nd 3.37-3.43
Nd 0.9820 0.2336 0.9640  1 Ga 3.15, 2 Al 3.17, 2 Nd 3.37
Nd 0.2005 0.3084 0.4010  3 Ga 3.09-3.44
Nd 0.6650 0.9629 0.3300  3 Ga 3.08-3.23, 1 Al 3.16, 1 Nd 3.43
Nd 0.7995 0.6916 0.5990  3 Ga 3.09-3.44
Ga 0.8211 0.2903 0.6422  9 Nd 3.08-3.44
Ga 0.1789 0.7097 0.3578  9 Nd 3.08-3.44
Al 0.5000 0.0000 0.0000  8 Nd 3.16-3.27

Record 7
Here is an optimized crystal structure of Nd3Al9Ga2 from Alexandria. Energies are from GGA-PBE.

Results
SG: Immm, No. 71
Magnetization: 0.0000 μB per atom
Energy relative to the elements: -0.38 eV/atom

Cell lengths 4.3865, 8.4998, 8.4998 Å; angles 72.60, 75.05, 75.05 degrees
With the nearest neighbours (Å) after each atom.
Atoms (fractional coordinates):
Al 0.1404 0.1329 0.5863  4 Al 2.64-2.92, 2 Ga 2.85
Al 0.8596 0.8671 0.4137  4 Al 2.64-2.92, 2 Ga 2.85
Al 0.3361 0.0338 0.2940  4 Al 2.62-2.72, 1 Ga 2.63
Al 0.8596 0.4137 0.8671  4 Al 2.64-2.92, 2 Ga 2.85
Al 0.6639 0.9662 0.7060  4 Al 2.62-2.72, 1 Ga 2.63
Al 0.3361 0.2940 0.0338  4 Al 2.62-2.72, 1 Ga 2.63
Al 0.6639 0.7060 0.9662  4 Al 2.62-2.72, 1 Ga 2.63
Al 0.1404 0.5863 0.1329  4 Al 2.64-2.92, 2 Ga 2.85
Al 0.0000 0.5000 0.5000  4 Al 2.92, 4 Ga 3.09, 4 Nd 3.22
Nd 0.6816 0.3184 0.3184  2 Ga 3.20, 10 Al 3.21-3.25
Nd 0.3184 0.6816 0.6816  2 Ga 3.20, 10 Al 3.21-3.25
Nd 0.0000 0.0000 0.0000  12 Al 3.30-3.32, 4 Ga 3.61
Ga 0.5000 0.2843 0.7157  6 Al 2.63-2.85
Ga 0.5000 0.7157 0.2843  6 Al 2.63-2.85

Record 8
Here is an optimized crystal structure of Nd4Al3Ga from Alexandria. Energies are from GGA-PBE.

Results
SG: Pmm2, No. 25
Magnetization: 0.0004 μB per atom
Energy relative to the elements: -0.41 eV/atom

Cell lengths 4.5014, 4.2463, 11.5158 Å; angles 90.00, 90.00, 90.00 degrees
With the nearest neighbours (Å) after each atom.
Atoms (fractional coordinates):
Nd 0.5000 0.5000 0.3544  6 Al 3.22-3.33, 1 Ga 3.27
Nd 0.0000 0.0000 0.1404  4 Ga 3.20, 3 Al 3.27-3.34
Nd 0.5000 0.0000 0.6431  7 Al 3.21-3.36
Nd 0.0000 0.5000 0.8590  5 Al 3.22-3.36, 2 Ga 3.32
Al 0.0000 0.5000 0.5675  2 Al 2.65
Al 0.0000 0.0000 0.4303  2 Al 2.65
Al 0.5000 0.0000 0.9349  2 Ga 2.64
Ga 0.5000 0.5000 0.0705  2 Al 2.64